{"formula": "Mn2TcSe", "functional": "GGA-PBEsol", "state": "relaxed", "spacegroup": "F-43m", "rho_g_cm3": 9.47, "formation_energy_uncorrected_ev_per_atom": 0.206, "total_magnetization_mub_per_cell": 2.67, "cell": [[4.143, 0.000, 0.000], [2.072, 3.588, 0.000], [2.072, 1.196, 3.383]], "species": ["Mn", "Mn", "Se", "Tc"], "frac_coords": [[0.000, 0.000, 0.000], [0.750, 0.750, 0.750], [0.500, 0.500, 0.500], [0.250, 0.250, 0.250]]}